Here is a relaxed Sr3TcGe crystal from the Alexandria database. Energies are from PBE-GGA.

The formation energy comes out at 626 meV per atom. As for the excess energy over the best structure of this formula in the dataset: 0 meV/atom.

It has space group Pm-3m (No. 221), with a = 5.587 Å, b = 5.587 Å, c = 5.587 Å, α = 90.00°, β = 90.00° and γ = 90.00°. Symmetry generates all atoms from Sr at (0.000, 0.000, 0.500), Tc at (0.000, 0.000, 0.000) and Ge at (0.500, 0.500, 0.500).

Here is a relaxed SrTc4Ge2 crystal from the Alexandria database. Energies are from PBE-GGA.

The formation energy comes out at -245 meV per atom.

It has space group Cmmm (No. 65), with a = 4.201 Å, b = 14.684 Å, c = 4.185 Å, α = 90.00°, β = 90.00° and γ = 90.00°. Symmetry generates all atoms from Sr at (0.000, 0.000, 0.000), Tc at (0.000, 0.197, 0.500), Tc at (0.000, 0.299, 0.000) and Ge at (0.000, 0.407, 0.500).

Here is a relaxed SrTc2Ge2 crystal from the Alexandria database. Energies are from PBE-GGA.

The formation energy comes out at 46 meV per atom. As for the excess energy over the best structure of this formula in the dataset: 369 meV/atom.

It has space group P4/mbm (No. 127), with a = 7.722 Å, b = 7.722 Å, c = 2.985 Å, α = 90.00°, β = 90.00° and γ = 90.00°. Symmetry generates all atoms from Sr at (0.000, 0.000, 0.000), Tc at (0.139, 0.361, 0.500) and Ge at (0.142, 0.642, 0.000).

Here is a relaxed Sr2YTcGe crystal from the Alexandria database. Energies are from PBE-GGA.

The formation energy comes out at 490 meV per atom.

It has space group P4/mmm (No. 123), with a = 5.660 Å, b = 5.660 Å, c = 5.156 Å, α = 90.00°, β = 90.00° and γ = 90.00°. Symmetry generates all atoms from Sr at (0.000, 0.500, 0.000), Y at (0.000, 0.000, 0.500), Tc at (0.000, 0.000, 0.000) and Ge at (0.500, 0.500, 0.500).

Here is a relaxed SrZn2TcGe crystal from the Alexandria database. Energies are from PBE-GGA.

The formation energy comes out at -164 meV per atom.

It has space group P4/mmm (No. 123), with a = 4.923 Å, b = 4.923 Å, c = 4.755 Å, α = 90.00°, β = 90.00° and γ = 90.00°. Symmetry generates all atoms from Sr at (0.000, 0.000, 0.000), Zn at (0.000, 0.500, 0.500), Tc at (0.500, 0.500, 0.500) and Ge at (0.500, 0.500, 0.000).

Here is a relaxed SrGeTe3 crystal from the Alexandria database. Energies are from PBE-GGA.

For the uncorrected formation energy, the calculation gives -0.412 eV per atom. As for the excess energy over the best structure of this formula in the dataset: 211 meV/atom.

It has space group Pm-3m (No. 221), with a = 5.512 Å, b = 5.512 Å, c = 5.512 Å, α = 90.00°, β = 90.00° and γ = 90.00°. Symmetry generates all atoms from Sr at (0.000, 0.000, 0.000), Ge at (0.500, 0.500, 0.500) and Te at (0.000, 0.500, 0.500).

Here is a relaxed SrGe3Te crystal from the Alexandria database. Energies are from PBE-GGA.

For the uncorrected formation energy, the calculation gives 0.383 eV per atom. As for the excess energy over the best structure of this formula in the dataset: 0 meV/atom.

It has space group Pm-3m (No. 221), with a = 5.472 Å, b = 5.472 Å, c = 5.472 Å, α = 90.00°, β = 90.00° and γ = 90.00°. Symmetry generates all atoms from Sr at (0.000, 0.000, 0.000), Ge at (0.000, 0.500, 0.500) and Te at (0.500, 0.500, 0.500).

Here is a relaxed Sr3Ge5Te12 crystal from the Alexandria database. Energies are from PBE-GGA.

For the uncorrected formation energy, the calculation gives -0.460 eV per atom.

It has space group Ia-3d (No. 230), with a = 17.742 Å, b = 17.742 Å, c = 17.742 Å, α = 90.00°, β = 90.00° and γ = 90.00°. Symmetry generates all atoms from Sr at (0.000, 0.250, 0.125), Ge at (0.000, 0.000, 0.000), Ge at (0.000, 0.250, 0.375) and Te at (0.029, 0.058, 0.650).

Here is a relaxed Sr2GeTe2 crystal from the Alexandria database. Energies are from PBE-GGA.

For the uncorrected formation energy, the calculation gives -0.952 eV per atom.

It has space group P4/mbm (No. 127), with a = 8.620 Å, b = 8.620 Å, c = 4.450 Å, α = 90.00°, β = 90.00° and γ = 90.00°. Symmetry generates all atoms from Sr at (0.156, 0.344, 0.000), Ge at (0.000, 0.000, 0.500) and Te at (0.155, 0.655, 0.500).

Here is a relaxed SrGeTe3 crystal from the Alexandria database. Energies are from PBE-GGA.

For the uncorrected formation energy, the calculation gives 0.461 eV per atom. As for the excess energy over the best structure of this formula in the dataset: 1084 meV/atom.

It has space group Pm-3m (No. 221), with a = 6.079 Å, b = 6.079 Å, c = 6.079 Å, α = 90.00°, β = 90.00° and γ = 90.00°. Symmetry generates all atoms from Sr at (0.000, 0.000, 0.000), Ge at (0.500, 0.500, 0.500) and Te at (0.000, 0.000, 0.500).

Here is a relaxed SrGeTe3 crystal from the Alexandria database. Energies are from PBE-GGA.

For the uncorrected formation energy, the calculation gives -0.623 eV per atom. As for the excess energy over the best structure of this formula in the dataset: 0 meV/atom.

It has space group Cm (No. 8), with a = 13.687 Å, b = 10.214 Å, c = 5.064 Å, α = 90.00°, β = 92.94° and γ = 90.00°. Symmetry generates all atoms from Sr at (0.000, 0.000, 0.000), Sr at (0.071, 0.500, 0.415), Ge at (0.285, 0.176, 0.208), Te at (0.142, 0.288, 0.925), Te at (0.183, 0.000, 0.473), Te at (0.388, 0.000, 0.943) and Te at (0.430, 0.287, 0.491).

Here is a relaxed Sr2GeTe4 crystal from the Alexandria database. Energies are from PBE-GGA.

For the uncorrected formation energy, the calculation gives -0.737 eV per atom.

It has space group I4/mmm (No. 139), with a = 5.488 Å, b = 5.488 Å, c = 16.723 Å, α = 90.00°, β = 90.00° and γ = 90.00°. Symmetry generates all atoms from Sr at (0.000, 0.000, 0.132), Ge at (0.000, 0.000, 0.500), Te at (0.000, 0.000, 0.326) and Te at (0.000, 0.500, 0.000).

| no. | DFT total energy (eV/cell) |
| --- | --- |
| 1 | -16.9 |
| 2 | -108.2 |
| 3 | -62.8 |
| 4 | -22.4 |
| 5 | -20.0 |
| 6 | -17.8 |
| 7 | -16.8 |
| 8 | -600.2 |
| 9 | -38.1 |
| 10 | -13.4 |
| 11 | -75.4 |
| 12 | -51.4 |